The following is a DFT calculation (PBE-GGA) of crystalline PrEr5Sc4 at its relaxed geometry.

abc: 6.152 7.588 7.588
angles: 80.54 66.08 66.08
Fractional coordinates of all 10 atoms:
Er1 0.803 0.392 0.901
Pr1 0.223 0.000 0.000
Sc1 0.395 0.417 0.698
Sc2 0.093 0.302 0.417
Sc3 0.812 0.698 0.583
Er2 0.679 0.000 0.000
Er3 0.704 0.099 0.392
Er4 0.096 0.608 0.099
Sc4 0.510 0.583 0.302
Er5 0.195 0.901 0.608

Total DFT energy (no corrections)   -49.53 eV/cell
Energy above the lowest structure with this stoichiometry   46 meV per atom
Energy relative to the elements   3.39 eV per formula unit
Symmetry   No. 79

=====

The following is a DFT calculation (PBE-GGA) of crystalline PrEr6Sc2 at its relaxed geometry.

abc: 6.371 9.395 9.395
angles: 99.83 97.69 97.69
Fractional coordinates of all 18 atoms:
Er1 0.519 0.361 0.738
Er2 0.981 0.262 0.639
Sc1 0.638 0.359 0.387
Er3 0.695 0.742 0.946
Er4 0.481 0.639 0.262
Sc2 0.138 0.387 0.359
Er5 0.305 0.258 0.054
Er6 0.691 0.914 0.557
Er7 0.195 0.946 0.742
Er8 0.809 0.443 0.086
Pr1 0.750 0.097 0.903
Pr2 0.250 0.903 0.097
Er9 0.309 0.086 0.443
Er10 0.191 0.557 0.914
Er11 0.019 0.738 0.361
Sc3 0.362 0.641 0.613
Sc4 0.862 0.613 0.641
Er12 0.805 0.054 0.258

Total DFT energy (no corrections)   -87.67 eV/cell
Energy above the lowest structure with this stoichiometry   0 meV per atom
Energy relative to the elements   0.99 eV per formula unit
Symmetry   No. 15

=====

The following is a DFT calculation (PBE-GGA) of crystalline Pr3Er3Sc at its relaxed geometry.

abc: 6.613 6.613 10.556
angles: 90.17 90.17 94.42
Fractional coordinates of all 14 atoms:
Pr1 0.873 0.518 0.746
Er1 0.178 0.822 0.000
Er2 0.818 0.182 0.500
Er3 0.673 0.673 0.432
Sc1 0.026 0.026 0.748
Er4 0.327 0.327 0.568
Pr2 0.127 0.482 0.254
Sc2 0.974 0.974 0.252
Er5 0.822 0.178 0.000
Pr3 0.518 0.873 0.746
Er6 0.182 0.818 0.500
Pr4 0.482 0.127 0.254
Pr5 0.674 0.674 0.075
Pr6 0.326 0.326 0.925

Total DFT energy (no corrections)   -67.10 eV/cell
Energy above the lowest structure with this stoichiometry   0 meV per atom
Energy relative to the elements   0.81 eV per formula unit
Symmetry   No. 12

=====

The following is a DFT calculation (PBE-GGA) of crystalline Pr12Er3Sc at its relaxed geometry.

abc: 5.158 5.158 20.601
angles: 90.00 90.00 90.00
Fractional coordinates of all 16 atoms:
Pr1 0.500 0.500 0.248
Er1 0.000 0.000 0.248
Pr2 0.000 0.500 0.122
Pr3 0.500 0.000 0.374
Pr4 0.000 0.500 0.878
Er2 0.000 0.000 0.752
Pr5 0.500 0.500 0.000
Pr6 0.000 0.500 0.374
Er3 0.000 0.000 0.500
Pr7 0.500 0.000 0.122
Pr8 0.500 0.500 0.500
Pr9 0.500 0.500 0.752
Sc1 0.000 0.000 0.000
Pr10 0.000 0.500 0.626
Pr11 0.500 0.000 0.878
Pr12 0.500 0.000 0.626

Total DFT energy (no corrections)   -77.07 eV/cell
Energy relative to the elements   0.30 eV per formula unit
Symmetry   No. 123

=====

The following is a DFT calculation (PBE-GGA) of crystalline Pr2Er6Sc at its relaxed geometry.

abc: 6.015 9.981 9.981
angles: 70.28 84.16 84.16
Fractional coordinates of all 18 atoms:
Sc1 0.750 0.896 0.104
Er1 0.633 0.067 0.340
Er2 0.672 0.238 0.976
Er3 0.011 0.593 0.309
Er4 0.133 0.340 0.067
Er5 0.989 0.407 0.691
Er6 0.828 0.024 0.762
Er7 0.328 0.762 0.024
Pr1 0.939 0.777 0.566
Er8 0.367 0.933 0.660
Er9 0.172 0.976 0.238
Er10 0.867 0.660 0.933
Er11 0.489 0.691 0.407
Er12 0.511 0.309 0.593
Pr2 0.561 0.434 0.223
Sc2 0.250 0.104 0.896
Pr3 0.061 0.223 0.434
Pr4 0.439 0.566 0.777

Total DFT energy (no corrections)   -84.68 eV/cell
Energy above the lowest structure with this stoichiometry   19 meV per atom
Energy relative to the elements   0.93 eV per formula unit
Symmetry   No. 15

=====

The following is a DFT calculation (PBE-GGA) of crystalline Pr4Er8Sc at its relaxed geometry.

abc: 7.748 7.748 7.748
angles: 90.19 90.19 90.19
Site moments in Bohr magnetons follow the coordinates.
Fractional coordinates of all 13 atoms:
Er1 0.244 0.758 0.758  0.10
Er2 0.756 0.242 0.242  0.10
Pr1 0.000 0.000 0.000  -0.05
Er3 0.758 0.244 0.758  0.10
Pr2 0.000 0.500 0.500  0.19
Er4 0.242 0.756 0.242  0.10
Pr3 0.500 0.000 0.500  0.19
Sc1 0.500 0.500 0.500  0.10
Pr4 0.500 0.500 0.000  0.19
Er5 0.758 0.758 0.244  0.10
Er6 0.242 0.242 0.756  0.10
Er7 0.243 0.243 0.243  0.10
Er8 0.757 0.757 0.757  0.10

Total DFT energy (no corrections)   -54.89 eV/cell
Energy relative to the elements   7.06 eV per formula unit
Symmetry   No. 166

=====

The following is a DFT calculation (PBE-GGA) of crystalline Pr3Er6Sc at its relaxed geometry.

abc: 5.029 11.184 11.224
angles: 90.33 90.00 90.00
Fractional coordinates of all 20 atoms:
Er1 0.250 0.146 0.202
Er2 0.750 0.141 0.692
Sc1 0.250 0.951 0.599
Er3 0.750 0.340 0.302
Er4 0.750 0.763 0.502
Er5 0.250 0.660 0.698
Er6 0.750 0.952 0.105
Er7 0.250 0.048 0.895
Er8 0.750 0.554 0.899
Pr1 0.250 0.550 0.401
Er9 0.250 0.237 0.498
Pr2 0.250 0.349 0.797
Pr3 0.750 0.651 0.203
Sc2 0.750 0.049 0.401
Er10 0.250 0.446 0.101
Pr4 0.750 0.247 0.000
Pr5 0.250 0.753 0.000
Pr6 0.750 0.450 0.599
Er11 0.250 0.859 0.308
Er12 0.750 0.854 0.798

Total DFT energy (no corrections)   -95.30 eV/cell
Energy above the lowest structure with this stoichiometry   0 meV per atom
Energy relative to the elements   0.40 eV per formula unit
Symmetry   No. 11

=====

The following is a DFT calculation (PBE-GGA) of crystalline Pr12Er5Sc2 at its relaxed geometry.

abc: 7.821 10.096 9.650
angles: 68.16 90.00 112.79
Fractional coordinates of all 19 atoms:
Er1 0.314 0.627 0.195
Pr1 0.515 0.029 0.321
Pr2 0.615 0.691 0.865
Pr3 0.398 0.313 0.518
Pr4 0.385 0.309 0.135
Pr5 0.602 0.687 0.482
Sc1 0.674 0.000 0.000
Pr6 0.981 0.963 0.184
Sc2 0.326 0.000 0.000
Er2 0.793 0.587 0.206
Pr7 0.924 0.309 0.135
Er3 0.686 0.373 0.805
Pr8 0.019 0.037 0.816
Er4 0.207 0.413 0.794
Pr9 0.915 0.313 0.518
Pr10 0.085 0.687 0.482
Er5 0.000 0.000 0.500
Pr11 0.485 0.971 0.679
Pr12 0.076 0.691 0.865

Total DFT energy (no corrections)   -89.56 eV/cell
Energy relative to the elements   3.27 eV per formula unit
Symmetry   No. 12

=====

The following is a DFT calculation (PBE-GGA) of crystalline Pr4Er3Sc2 at its relaxed geometry.

abc: 3.597 6.623 14.248
angles: 63.84 90.00 105.75
Fractional coordinates of all 9 atoms:
Er1 0.623 0.247 0.387
Pr1 0.348 0.697 0.872
Sc1 0.337 0.674 0.208
Pr2 0.893 0.786 0.386
Er2 0.377 0.753 0.613
Sc2 0.663 0.326 0.792
Pr3 0.652 0.303 0.128
Er3 0.000 0.000 0.000
Pr4 0.107 0.214 0.614

Total DFT energy (no corrections)   -44.67 eV/cell
Energy relative to the elements   0.80 eV per formula unit
Symmetry   No. 12